Material: TlAuC
Method: DFT, PBE
State: relaxed

Spin magnetization ... 0.0000 μB per atom
Calculated formation energy ... 1042 meV/atom

Unit cell a=8.164 b=4.337 c=7.343 alpha=90.00 beta=90.00 gamma=90.00
Atoms (fractional coordinates):
Tl 0.750 0.250 0.115
Tl 0.750 0.750 0.615
Tl 0.250 0.750 0.885
Tl 0.250 0.250 0.385
Au 0.000 0.250 0.750
Au 0.500 0.750 0.250
Au 0.000 0.750 0.250
Au 0.500 0.250 0.750
C 0.250 0.250 0.708
C 0.250 0.750 0.208
C 0.750 0.750 0.292
C 0.750 0.250 0.792

---

Material: LaAg2Ir
Method: DFT, PBE
State: relaxed

Spin magnetization ... 0.0000 μB per atom
Energy relative to the lowest polymorph listed for this composition ... 0.285 eV/atom
Calculated formation energy ... 24 meV/atom

Unit cell a=3.234 b=4.559 c=5.594 alpha=90.00 beta=90.00 gamma=90.00
Atoms (fractional coordinates):
Ir 0.500 0.500 0.250
Ag 0.000 0.000 0.015
Ag 0.000 0.000 0.485
La 0.500 0.500 0.750